Below is a relaxed CaZr2NbIn crystal, with properties calculated at the PBE level.

Output
The energy of formation is 1.69 eV per atom. As for the space-group type: P4/mmm (123).

The structure in extended XYZ format:
```
5
Lattice="4.8642 0.0000 0.0000 0.0000 5.2960 0.0000 0.0000 0.0000 4.8642" Properties=species:S:1:pos:R:3 pbc="T T T"
Nb 2.4321 2.6480 2.4321
Ca 0.0000 0.0000 0.0000
Zr 0.0000 0.0000 2.4321
Zr 2.4321 0.0000 0.0000
In 0.0000 2.6480 0.0000
```

Below is a relaxed TlAuSe2 crystal, with properties calculated at the PBE level.

Output
As for the space-group type: Cmmm (65). The raw formation energy comes out at -0.2 eV per formula unit.

The structure in extended XYZ format:
```
4
Lattice="4.8813 -0.2384 0.0000 -3.1368 3.7476 0.0000 0.0000 0.0000 7.8160" Properties=species:S:1:pos:R:3 pbc="T T T"
Au 0.8722 1.7546 5.8620
Se 0.0000 0.0000 7.4730
Se 0.0000 0.0000 4.2510
Tl 0.8722 1.7546 1.9540
```

Below is a relaxed Na2NdC2O6 crystal, with properties calculated at the PBE level.

Output
As for the space-group type: P-3 (147). The raw formation energy comes out at -20.0 eV per formula unit.

The structure in extended XYZ format:
```
11
Lattice="5.2503 0.0000 0.0000 -2.6252 4.5469 0.0000 0.0000 0.0000 7.7251" Properties=species:S:1:pos:R:3 pbc="T T T"
Na 2.6252 1.5156 5.1163
Na 0.0000 3.0313 2.6088
Nd 0.0000 0.0000 0.0000
C 0.0000 3.0313 6.4017
C 2.6252 1.5156 1.3235
O -0.6036 1.8811 6.3826
O 1.2979 3.0836 6.3826
O -0.6943 4.1291 6.3826
O 3.2288 2.6658 1.3425
O 1.3273 1.4633 1.3425
O 3.3194 0.4178 1.3425
```

Below is a relaxed YAlMo2H crystal, with properties calculated at the PBE level.

Output
As for the space-group type: P4/mmm (123). For the distance to the lowest polymorph of the same formula, the calculation gives 1661 meV/atom.

The structure in extended XYZ format:
```
5
Lattice="4.5779 0.0000 0.0000 0.0000 5.4955 0.0000 0.0000 0.0000 4.5779" Properties=species:S:1:pos:R:3 pbc="T T T"
Y 0.0000 2.7478 0.0000
H 2.2889 2.7478 2.2889
Mo 0.0000 0.0000 2.2889
Mo 2.2889 0.0000 0.0000
Al 0.0000 0.0000 0.0000
```